# Ba2NaI PBE optimized geometry
data_Ba2NaI
_space_group_name_H-M_alt 'P 4/m m m'
_space_group_IT_number 123
_space_group_name_Hall '-P 4 2'
_cell_length_a 4.288
_cell_length_b 4.288
_cell_length_c 10.111
_cell_angle_alpha 90.00
_cell_angle_beta 90.00
_cell_angle_gamma 90.00
loop_
_atom_site_label
_atom_site_type_symbol
_atom_site_fract_x
_atom_site_fract_y
_atom_site_fract_z
Ba1 Ba 0.000 0.000 0.237
Na1 Na 0.500 0.500 0.500
I1 I 0.500 0.500 0.000
# total energy = -8.93 eV per cell
# M_tot = 0.00 μB/f.u.
# crystal system = tetragonal
# distance to the lowest polymorph of the same formula = 32 meV per atom
# DOS at the Fermi energy = 4.7 states/eV/cell
# E_form (uncorrected) = -214.1 kJ/mol of formula units